# Rb3CuW

Crystalline Rb3CuW at its relaxed geometry (PBE, Alexandria).

Values from the calculation:
The total energy is -2.475 eV per atom. Its formation energy is 1.52 eV/atom. For the density, the calculation gives 3.1 Mg/m³. The distance to the lowest polymorph of the same formula comes out at 0.0000 eV/atom.

a = 6.4617 Å, b = 6.4617 Å, c = 6.4617 Å
α = 90.00°, β = 90.00°, γ = 90.00°
Last column: nearest neighbours and their distance in Å.
Space group Pm-3m (No. 221)
Asymmetric unit:
Rb1 0.0000 0.0000 0.5000 [3 per cell]  2 Cu 3.23
Cu1 0.0000 0.0000 0.0000 [1 per cell]  6 Rb 3.23
W1 0.5000 0.5000 0.5000 [1 per cell]  12 Rb 4.57